## Zr4PbSN2 (PBE-GGA)

Data for an optimized crystal structure of Zr4PbSN2.

Cell lengths 3.3864, 3.3864, 13.3504 Å; angles 90.00, 90.00, 120.00 degrees
Last column: nearest neighbours and their distance in Å.
Atoms (fractional coordinates):
Zr  0.0000  0.0000  0.1361  3 N 2.31
Zr  0.0000  0.0000  0.8639  3 N 2.31
Zr  0.6667  0.3333  0.3148  3 N 2.27
Zr  0.6667  0.3333  0.6852  3 N 2.27
Pb  0.0000  0.0000  0.5000  6 Zr 3.15, 6 Pb 3.39
S  0.6667  0.3333  0.0000  6 Zr 2.67
N  0.3333  0.6667  0.2280  6 Zr 2.27-2.31
N  0.3333  0.6667  0.7720  6 Zr 2.27-2.31

Values from the calculation:
space group: P-6m2, No. 187
magnetic moment: 0.002 μB/f.u.
raw total energy: -68.981 eV for the cell shown
calculated volume: 132.6 Å³/cell